ZnPbF, optimized geometry, DFT PBE; E_form (uncorrected) = -0.8916 eV per atom
1.0
13.338 0.000 0.000
0.000 1.626 2.818
0.000 -1.626 2.818
Zn Pb F
2 2 2
direct
0.000 0.000 0.000
0.500 0.221 0.221
0.314 0.885 0.885
0.686 0.885 0.885
0.089 0.332 0.332
0.911 0.332 0.332

=====

La3PmY8, optimized geometry, DFT PBE; raw total energy = -5.332 eV per atom
1.0
-4.425 4.425 5.707
4.425 -4.425 5.707
4.425 4.425 -5.707
La Pm Y
3 1 8
direct
0.000 0.000 0.000
0.250 0.750 0.500
0.750 0.250 0.500
0.500 0.500 0.000
0.128 0.376 0.000
0.248 0.248 0.503
0.255 0.752 0.000
0.376 0.128 0.000
0.624 0.624 0.752
0.745 0.745 0.497
0.752 0.255 0.000
0.872 0.872 0.248

=====

CdFe2Cl, optimized geometry, DFT PBE; ΔE to the lowest computed polymorph = 55.1 kJ/mol of atoms; E_form (uncorrected) = 0.6529 eV per atom
1.0
-1.914 1.914 4.598
1.914 -1.914 4.598
1.914 1.914 -4.598
Cd Fe Cl
1 2 1
direct
0.000 0.000 0.000
0.500 0.500 0.000
0.750 0.250 0.500
0.250 0.750 0.500

=====

Gd2TlGa, optimized geometry, DFT PBE; ΔE to the lowest computed polymorph = 13.4 kJ/mol of atoms
1.0
1.873 1.081 9.274
-1.873 1.081 9.274
0.000 -2.163 9.274
Gd Tl Ga
2 1 1
direct
0.243 0.243 0.243
0.757 0.757 0.757
0.000 0.000 0.000
0.500 0.500 0.500